# 1
Here is Hg3Sb after structural relaxation from Alexandria. Energies are from PBE.

Computed properties:
* total energy: -1.07 eV/atom
* ΔE to the lowest computed polymorph: 0.0997 eV per atom
* Fermi-level density of states: 1.69 states/eV per cell
* E_form (uncorrected): 185 meV per atom
* ρ: 11.71 Mg/m³

a = 4.6820 Å, b = 4.6820 Å, c = 4.6820 Å
α = 90.00°, β = 90.00°, γ = 90.00°
With the nearest neighbours (Å) after each atom.
Space group Pm-3m (No. 221)
Symmetry-distinct sites (fractional):
Hg: 0.0000 0.0000 0.5000 (multiplicity 3)  8 Hg 3.31, 4 Sb 3.31
Sb: 0.5000 0.5000 0.5000 (multiplicity 1)  12 Hg 3.31

---

# 2
Here is Hg3Sb after structural relaxation from Alexandria. Energies are from PBE.

Computed properties:
* total energy: -1.08 eV/atom
* ΔE to the lowest computed polymorph: 0.0953 eV per atom
* Fermi-level density of states: 2.82 states/eV per cell
* E_form (uncorrected): 181 meV per atom
* ρ: 11.42 Mg/m³

a = 3.7325 Å, b = 3.7325 Å, c = 7.5519 Å
α = 90.00°, β = 90.00°, γ = 90.00°
With the nearest neighbours (Å) after each atom.
Space group P4/mmm (No. 123)
Symmetry-distinct sites (fractional):
Hg: 0.0000 0.0000 0.0000 (multiplicity 1)  8 Hg 3.23
Hg: 0.5000 0.5000 0.2468 (multiplicity 2)  4 Hg 3.23, 4 Sb 3.26
Sb: 0.0000 0.0000 0.5000 (multiplicity 1)  8 Hg 3.26

---

# 3
Here is Hg3Sb after structural relaxation from Alexandria. Energies are from PBE.

Computed properties:
* total energy: -1.14 eV/atom
* ΔE to the lowest computed polymorph: 0.0356 eV per atom
* Fermi-level density of states: 2.04 states/eV per cell
* E_form (uncorrected): 121 meV per atom
* ρ: 11.42 Mg/m³

a = 3.5021 Å, b = 3.5021 Å, c = 29.7246 Å
α = 90.00°, β = 90.00°, γ = 120.00°
With the nearest neighbours (Å) after each atom.
Space group R-3m (No. 166, hexagonal axes)
Symmetry-distinct sites (fractional):
Hg: 0.0000 0.0000 0.0000 (multiplicity 3)  12 Hg 3.15-3.50
Hg: 0.0000 0.0000 0.2523 (multiplicity 6)  9 Hg 3.15-3.50, 3 Sb 3.25
Sb: 0.0000 0.0000 0.5000 (multiplicity 3)  6 Hg 3.25, 6 Sb 3.50

---

Question: Which of these has the highest E_form (uncorrected)?
Answer: number 1

---

Question: Look up the ΔE to the lowest computed polymorph of the first one.
Answer: 0.0997 eV per atom

---

Question: What is the total energy in the third record?
Answer: -1.14 eV/atom

---

Question: Which formula does entry 2 have?
Answer: Hg3Sb